A plane-wave DFT calculation with PBE-GGA was carried out for a relaxed structure of Ba3RuO.

Cell: 5.342 5.342 5.342 Å, 90.00 90.00 90.00°
Element x y z (fractional)
Ba (0.000, 0.500, 0.000)
O (0.000, 0.000, 0.000)
Ru (0.500, 0.500, 0.500)
Ba (0.500, 0.000, 0.000)
Ba (0.000, 0.000, 0.500)

SG ... Pm-3m
Relative energy among the computed polymorphs ... 0.000 eV per atom
Energy ... -4.5636 eV per atom


A plane-wave DFT calculation with PBE-GGA was carried out for a relaxed structure of BaZnGaCu.

Cell: 4.378 4.365 6.419 Å, 109.97 90.00 120.10°
Element x y z (fractional)
Cu (0.431, 0.862, 0.936)
Ga (0.812, 0.625, 0.079)
Zn (0.105, 0.210, 0.956)
Ba (0.618, 0.236, 0.496)

SG ... Cm
ΔE_f ... -0.2345 eV per atom
Energy ... -2.8144 eV per atom


A plane-wave DFT calculation with PBE-GGA was carried out for a relaxed structure of Y2Ga3Cu4Si.

Cell: 4.116 4.116 10.001 Å, 90.00 90.00 90.00°
Element x y z (fractional)
Ga (0.000, 0.500, 0.133)
Cu (0.500, 0.500, 0.000)
Cu (0.000, 0.000, 0.000)
Y (0.000, 0.500, 0.748)
Ga (0.500, 0.000, 0.867)
Si (0.500, 0.500, 0.500)
Cu (0.500, 0.000, 0.628)
Cu (0.000, 0.500, 0.372)
Ga (0.000, 0.000, 0.500)
Y (0.500, 0.000, 0.252)

SG ... P-4m2
Energy ... -4.8213 eV per atom